Here is crystalline Sr2Ag2SbP at its relaxed geometry from OQMD via LeMat-Bulk. Energies are from PBE.

Values from the calculation:
The calculation puts the total DFT energy (no corrections) at -22.9 eV/f.u. Its space-group type is No. 156.

a = 4.648 Å, b = 4.648 Å, c = 8.521 Å
α = 90.00°, β = 90.00°, γ = 120.00°
Element x y z (fractional)
Sr (0.000, 0.000, 0.000)
Sr (0.000, 0.000, 0.475)
Ag (0.333, 0.667, 0.240)
Ag (0.667, 0.333, 0.745)
Sb (0.333, 0.667, 0.731)
P (0.667, 0.333, 0.232)

Here is crystalline ScAgP2Se6 at its relaxed geometry from OQMD via LeMat-Bulk. Energies are from PBE.

Values from the calculation:
The calculation puts the total DFT energy (no corrections) at -46.2 eV/f.u. For the total magnetization, the calculation gives 0.00 μB per formula unit. Its space-group type is No. 163.

a = 6.526 Å, b = 6.526 Å, c = 14.171 Å
α = 90.00°, β = 90.00°, γ = 120.00°
Element x y z (fractional)
Sc (0.000, 0.000, 0.250)
Sc (0.000, 0.000, 0.750)
Ag (0.333, 0.667, 0.250)
Ag (0.667, 0.333, 0.750)
P (0.333, 0.667, 0.670)
P (0.333, 0.667, 0.830)
P (0.667, 0.333, 0.170)
P (0.667, 0.333, 0.330)
Se (0.023, 0.328, 0.625)
Se (0.023, 0.695, 0.875)
Se (0.305, 0.328, 0.875)
Se (0.305, 0.977, 0.625)
Se (0.328, 0.023, 0.125)
Se (0.328, 0.305, 0.375)
Se (0.672, 0.695, 0.625)
Se (0.672, 0.977, 0.875)
Se (0.695, 0.023, 0.375)
Se (0.695, 0.672, 0.125)
Se (0.977, 0.305, 0.125)
Se (0.977, 0.672, 0.375)

Here is crystalline Si3Ag3Sn2P6 at its relaxed geometry from OQMD via LeMat-Bulk. Energies are from PBE.

Values from the calculation:
The calculation puts the total DFT energy (no corrections) at -67.1 eV/f.u. Its space-group type is No. 217.

a = 9.053 Å, b = 9.053 Å, c = 9.053 Å
α = 109.47°, β = 109.47°, γ = 109.47°
Element x y z (fractional)
Si (0.250, 0.500, 0.750)
Si (0.250, 0.750, 0.500)
Si (0.500, 0.250, 0.750)
Si (0.500, 0.750, 0.250)
Si (0.750, 0.250, 0.500)
Si (0.750, 0.500, 0.250)
Ag (0.000, 0.199, 0.199)
Ag (0.000, 0.801, 0.801)
Ag (0.199, 0.000, 0.199)
Ag (0.199, 0.199, 0.000)
Ag (0.801, 0.000, 0.801)
Ag (0.801, 0.801, 0.000)
Sn (0.000, 0.000, 0.409)
Sn (0.000, 0.409, 0.000)
Sn (0.409, 0.000, 0.000)
Sn (0.591, 0.591, 0.591)
P (0.000, 0.501, 0.753)
P (0.000, 0.753, 0.501)
P (0.247, 0.247, 0.748)
P (0.247, 0.748, 0.247)
P (0.252, 0.499, 0.499)
P (0.499, 0.252, 0.499)
P (0.499, 0.499, 0.252)
P (0.501, 0.000, 0.753)
P (0.501, 0.753, 0.000)
P (0.748, 0.247, 0.247)
P (0.753, 0.000, 0.501)
P (0.753, 0.501, 0.000)

Here is crystalline Ag2SnP2 at its relaxed geometry from OQMD via LeMat-Bulk. Energies are from PBE.

Values from the calculation:
The calculation puts the total DFT energy (no corrections) at -20.1 eV/f.u. Its space-group type is No. 63.

a = 6.059 Å, b = 6.059 Å, c = 11.517 Å
α = 90.00°, β = 90.00°, γ = 149.23°
Element x y z (fractional)
Ag (0.000, 0.000, 0.000)
Ag (0.000, 0.000, 0.500)
Ag (0.228, 0.772, 0.750)
Ag (0.772, 0.228, 0.250)
Sn (0.476, 0.524, 0.750)
Sn (0.524, 0.476, 0.250)
P (0.203, 0.797, 0.543)
P (0.203, 0.797, 0.957)
P (0.797, 0.203, 0.043)
P (0.797, 0.203, 0.457)